[1]
# NdEr6Tl PBE relaxed
data_NdEr6Tl
_chemical_formula_sum 'Nd1 Er6 Tl1'
_cell_length_a 4.969
_cell_length_b 6.945
_cell_length_c 6.945
_cell_angle_alpha 90.02
_cell_angle_beta 90.00
_cell_angle_gamma 90.00
_symmetry_space_group_name_H-M 'P 1'
_symmetry_Int_Tables_number 1
loop_
_symmetry_equiv_pos_as_xyz
'x,y,z'
loop_
_atom_site_label
_atom_site_fract_x
_atom_site_fract_y
_atom_site_fract_z
_atom_site_occupancy
Er1 0.500 0.500 0.000 1
Er2 0.000 0.749 0.749 1
Er3 0.000 0.251 0.251 1
Er4 0.000 0.749 0.251 1
Er5 0.000 0.251 0.749 1
Er6 0.500 0.000 0.500 1
Tl1 0.500 0.000 0.000 1
Nd1 0.500 0.500 0.500 1
# E_form: -0.017 eV/atom
# E above lowest polymorph: 0.000 eV/atom



[2]
# Ag3H2Pt2 PBE relaxed
data_Ag3H2Pt2
_chemical_formula_sum 'Ag12 H8 Pt8'
_cell_length_a 6.496
_cell_length_b 5.691
_cell_length_c 10.637
_cell_angle_alpha 90.00
_cell_angle_beta 90.00
_cell_angle_gamma 90.00
_symmetry_space_group_name_H-M 'P 1'
_symmetry_Int_Tables_number 1
loop_
_symmetry_equiv_pos_as_xyz
'x,y,z'
loop_
_atom_site_label
_atom_site_fract_x
_atom_site_fract_y
_atom_site_fract_z
_atom_site_occupancy
H1 0.307 0.167 0.750 1
H2 0.470 0.750 0.500 1
H3 0.530 0.250 0.500 1
H4 0.307 0.333 0.250 1
H5 0.693 0.667 0.750 1
H6 0.530 0.250 0.000 1
H7 0.470 0.750 0.000 1
H8 0.693 0.833 0.250 1
Ag1 0.036 0.122 0.387 1
Ag2 0.964 0.878 0.887 1
Ag3 0.700 0.181 0.750 1
Ag4 0.700 0.319 0.250 1
Ag5 0.964 0.622 0.387 1
Ag6 0.300 0.681 0.750 1
Ag7 0.036 0.378 0.613 1
Ag8 0.036 0.378 0.887 1
Ag9 0.036 0.122 0.113 1
Ag10 0.964 0.878 0.613 1
Ag11 0.964 0.622 0.113 1
Ag12 0.300 0.819 0.250 1
Pt1 0.366 0.427 0.402 1
Pt2 0.366 0.427 0.098 1
Pt3 0.634 0.927 0.402 1
Pt4 0.366 0.073 0.902 1
Pt5 0.634 0.573 0.598 1
Pt6 0.634 0.573 0.902 1
Pt7 0.634 0.927 0.098 1
Pt8 0.366 0.073 0.598 1
# VASP energy: -3.768 eV/atom



[3]
# Tl2InGaH PBE relaxed
data_Tl2InGaH
_chemical_formula_sum 'Tl2 In1 Ga1 H1'
_cell_length_a 5.473
_cell_length_b 5.473
_cell_length_c 3.832
_cell_angle_alpha 90.00
_cell_angle_beta 90.00
_cell_angle_gamma 90.00
_symmetry_space_group_name_H-M 'P 1'
_symmetry_Int_Tables_number 1
loop_
_symmetry_equiv_pos_as_xyz
'x,y,z'
loop_
_atom_site_label
_atom_site_fract_x
_atom_site_fract_y
_atom_site_fract_z
_atom_site_occupancy
Tl1 0.500 0.000 0.000 1
Tl2 0.000 0.500 0.000 1
H1 0.000 0.000 0.000 1
Ga1 0.000 0.000 0.500 1
In1 0.500 0.500 0.500 1
# E above lowest polymorph: 0.010 eV/atom



[4]
# K2RhI5 PBE relaxed
data_K2RhI5
_chemical_formula_sum 'K2 Rh1 I5'
_cell_length_a 5.441
_cell_length_b 8.997
_cell_length_c 8.319
_cell_angle_alpha 117.21
_cell_angle_beta 90.01
_cell_angle_gamma 107.70
_symmetry_space_group_name_H-M 'P 1'
_symmetry_Int_Tables_number 1
loop_
_symmetry_equiv_pos_as_xyz
'x,y,z'
loop_
_atom_site_label
_atom_site_fract_x
_atom_site_fract_y
_atom_site_fract_z
_atom_site_occupancy
I1 0.932 0.767 0.676 1
I2 0.196 0.292 0.939 1
I3 0.189 0.279 0.391 1
I4 0.563 0.029 0.971 1
I5 0.934 0.773 0.137 1
K1 0.393 0.692 0.370 1
K2 0.732 0.364 0.705 1
Rh1 0.063 0.028 0.034 1
# uncorrected formation energy: -0.753 eV per atom



[5]
# PaTc2Pb PBE relaxed
data_PaTc2Pb
_chemical_formula_sum 'Pa1 Tc2 Pb1'
_cell_length_a 3.617
_cell_length_b 4.606
_cell_length_c 4.606
_cell_angle_alpha 90.00
_cell_angle_beta 90.00
_cell_angle_gamma 90.00
_symmetry_space_group_name_H-M 'P 1'
_symmetry_Int_Tables_number 1
loop_
_symmetry_equiv_pos_as_xyz
'x,y,z'
loop_
_atom_site_label
_atom_site_fract_x
_atom_site_fract_y
_atom_site_fract_z
_atom_site_occupancy
Pb1 0.500 0.500 0.500 1
Pa1 0.500 0.000 0.000 1
Tc1 0.000 0.500 0.000 1
Tc2 0.000 0.000 0.500 1
# E_form: -0.011 eV/atom
# E above lowest polymorph: 0.000 eV/atom



[6]
# LaCdCoAu2 PBE relaxed
data_LaCdCoAu2
_chemical_formula_sum 'La1 Cd1 Co1 Au2'
_cell_length_a 4.938
_cell_length_b 4.817
_cell_length_c 4.938
_cell_angle_alpha 90.00
_cell_angle_beta 90.00
_cell_angle_gamma 90.00
_symmetry_space_group_name_H-M 'P 1'
_symmetry_Int_Tables_number 1
loop_
_symmetry_equiv_pos_as_xyz
'x,y,z'
loop_
_atom_site_label
_atom_site_fract_x
_atom_site_fract_y
_atom_site_fract_z
_atom_site_occupancy
Au1 0.000 0.000 0.500 1
Au2 0.500 0.000 0.000 1
Cd1 0.000 0.500 0.000 1
La1 0.500 0.500 0.500 1
Co1 0.000 0.000 0.000 1
# E_form: -0.063 eV/atom



[7]
# LiZrIn PBE relaxed
data_LiZrIn
_chemical_formula_sum 'Li1 Zr1 In1'
_cell_length_a 4.449
_cell_length_b 4.449
_cell_length_c 4.449
_cell_angle_alpha 60.00
_cell_angle_beta 60.00
_cell_angle_gamma 60.00
_symmetry_space_group_name_H-M 'P 1'
_symmetry_Int_Tables_number 1
loop_
_symmetry_equiv_pos_as_xyz
'x,y,z'
loop_
_atom_site_label
_atom_site_fract_x
_atom_site_fract_y
_atom_site_fract_z
_atom_site_occupancy
Li1 0.750 0.750 0.750 1
Zr1 0.000 0.000 0.000 1
In1 0.500 0.500 0.500 1
# E_form: 0.134 eV/atom
# E above lowest polymorph: 0.357 eV/atom



[8]
# PmLu3Ni PBE relaxed
data_PmLu3Ni
_chemical_formula_sum 'Pm1 Lu3 Ni1'
_cell_length_a 5.214
_cell_length_b 5.214
_cell_length_c 5.214
_cell_angle_alpha 90.00
_cell_angle_beta 90.00
_cell_angle_gamma 90.00
_symmetry_space_group_name_H-M 'P 1'
_symmetry_Int_Tables_number 1
loop_
_symmetry_equiv_pos_as_xyz
'x,y,z'
loop_
_atom_site_label
_atom_site_fract_x
_atom_site_fract_y
_atom_site_fract_z
_atom_site_occupancy
Lu1 0.000 0.500 0.000 1
Lu2 0.000 0.000 0.500 1
Lu3 0.500 0.000 0.000 1
Ni1 0.000 0.000 0.000 1
Pm1 0.500 0.500 0.500 1
# E_form: -0.119 eV/atom



[9]
# KNaLiPb PBE relaxed
data_KNaLiPb
_chemical_formula_sum 'K1 Na1 Li1 Pb1'
_cell_length_a 5.529
_cell_length_b 5.529
_cell_length_c 5.529
_cell_angle_alpha 60.00
_cell_angle_beta 60.00
_cell_angle_gamma 60.00
_symmetry_space_group_name_H-M 'P 1'
_symmetry_Int_Tables_number 1
loop_
_symmetry_equiv_pos_as_xyz
'x,y,z'
loop_
_atom_site_label
_atom_site_fract_x
_atom_site_fract_y
_atom_site_fract_z
_atom_site_occupancy
K1 0.750 0.750 0.750 1
Pb1 0.250 0.250 0.250 1
Li1 0.000 0.000 0.000 1
Na1 0.500 0.500 0.500 1
# E_form: -0.097 eV/atom



[10]
# Nb2NiRh PBE relaxed
data_Nb2NiRh
_chemical_formula_sum 'Nb2 Ni1 Rh1'
_cell_length_a 3.914
_cell_length_b 3.952
_cell_length_c 3.952
_cell_angle_alpha 90.00
_cell_angle_beta 90.00
_cell_angle_gamma 90.00
_symmetry_space_group_name_H-M 'P 1'
_symmetry_Int_Tables_number 1
loop_
_symmetry_equiv_pos_as_xyz
'x,y,z'
loop_
_atom_site_label
_atom_site_fract_x
_atom_site_fract_y
_atom_site_fract_z
_atom_site_occupancy
Nb1 0.000 0.500 0.000 1
Nb2 0.000 0.000 0.500 1
Ni1 0.500 0.500 0.500 1
Rh1 0.500 0.000 0.000 1
# E_form: -0.293 eV/atom



[11]
# Sm7Y3Tm2 PBE relaxed
data_Sm7Y3Tm2
_chemical_formula_sum 'Sm7 Y3 Tm2'
_cell_length_a 3.609
_cell_length_b 5.839
_cell_length_c 19.400
_cell_angle_alpha 103.80
_cell_angle_beta 90.00
_cell_angle_gamma 90.00
_symmetry_space_group_name_H-M 'P 1'
_symmetry_Int_Tables_number 1
loop_
_symmetry_equiv_pos_as_xyz
'x,y,z'
loop_
_atom_site_label
_atom_site_fract_x
_atom_site_fract_y
_atom_site_fract_z
_atom_site_occupancy
Sm1 0.500 0.998 0.817 1
Sm2 0.000 0.534 0.854 1
Sm3 0.500 0.722 0.465 1
Sm4 0.000 0.466 0.146 1
Sm5 0.000 0.000 0.000 1
Sm6 0.500 0.002 0.183 1
Sm7 0.500 0.278 0.535 1
Y1 0.500 0.500 0.000 1
Y2 0.000 0.148 0.367 1
Y3 0.000 0.852 0.633 1
Tm1 0.500 0.589 0.297 1
Tm2 0.500 0.411 0.703 1
# E_form: 0.088 eV/atom
# E above lowest polymorph: 0.000 eV/atom



[12]
# Sr2LiY PBE relaxed
data_Sr2LiY
_chemical_formula_sum 'Sr2 Li1 Y1'
_cell_length_a 6.184
_cell_length_b 6.184
_cell_length_c 4.157
_cell_angle_alpha 90.00
_cell_angle_beta 90.00
_cell_angle_gamma 90.22
_symmetry_space_group_name_H-M 'P 1'
_symmetry_Int_Tables_number 1
loop_
_symmetry_equiv_pos_as_xyz
'x,y,z'
loop_
_atom_site_label
_atom_site_fract_x
_atom_site_fract_y
_atom_site_fract_z
_atom_site_occupancy
Sr1 0.500 0.500 0.000 1
Sr2 0.000 0.000 0.000 1
Li1 0.000 0.500 0.500 1
Y1 0.500 0.000 0.500 1
# E_form: 0.191 eV/atom
# E above lowest polymorph: 0.054 eV/atom